## Pm5ThRh4 (PBE)

Data for a relaxed Pm5ThRh4 crystal.

Calculated values
D(E_F) ... 0.5680 states/eV/atom
E_form ... -0.61 eV/atom
DFT total energy ... -133.3 eV/cell

Geometry as CIF:
```
data_Pm5ThRh4
_symmetry_space_group_name_H-M 'C 1 2/m 1'
_symmetry_Int_Tables_number 12
_cell_length_a 17.772
_cell_length_b 4.184
_cell_length_c 7.867
_cell_angle_alpha 90.00
_cell_angle_beta 107.04
_cell_angle_gamma 90.00
loop_
_symmetry_equiv_pos_as_xyz
'x,y,z'
'-x,-y,-z'
'-x,y,-z'
'x,-y,z'
'x+1/2,y+1/2,z'
'-x+1/2,-y+1/2,-z'
'-x+1/2,y+1/2,-z'
'x+1/2,-y+1/2,z'
loop_
_atom_site_label
_atom_site_type_symbol
_atom_site_fract_x
_atom_site_fract_y
_atom_site_fract_z
_atom_site_occupancy
Pm1 Pm 0.000 0.000 0.000 1
Pm2 Pm 0.166 0.500 0.364 1
Pm3 Pm 0.167 0.500 0.854 1
Th1 Th 0.000 0.000 0.500 1
Rh1 Rh 0.001 0.500 0.753 1
Rh2 Rh 0.171 0.000 0.620 1
```